Ac6P2AuSe3 PBE optimized geometry; E_form (uncorrected) = -1568.7 meV per atom; total moment = 0.00 μB/f.u.; E = -5.669 eV per atom; calculated density = 8.073 g/cm3
1.0
-4.848 -5.209 -3.097
1.429 -0.097 7.627
-4.468 6.346 -0.410
Ac Se Au P
6 3 1 2
Direct
0.735 0.735 0.240 Ac
0.424 0.079 0.239 Ac
0.265 0.265 0.760 Ac
0.079 0.424 0.239 Ac
0.576 0.921 0.761 Ac
0.921 0.576 0.761 Ac
0.167 0.833 0.500 Se
0.500 0.500 0.500 Se
0.833 0.167 0.500 Se
0.000 0.000 0.000 Au
0.334 0.666 0.000 P
0.666 0.334 0.000 P

K2CdSbOs PBE optimized geometry; E_form (uncorrected) = 549.8 meV per atom; total moment = 0.88 μB/f.u.; E = -3.143 eV per atom; calculated density = 4.076 g/cm3
1.0
-5.844 -1.615 -2.056
-0.685 -2.755 4.110
-2.463 5.091 3.002
Cd K Sb Os
1 2 1 1
Direct
0.500 0.500 0.500 Cd
0.000 0.000 0.500 K
0.500 0.000 0.000 K
0.000 0.500 0.000 Sb
0.000 0.000 0.000 Os

Te3PW PBE optimized geometry; E_form (uncorrected) = 1352.3 meV per atom; total moment = 2.92 μB/f.u.; E = -4.205 eV per atom; calculated density = 7.374 g/cm3; polymorph energy (0 for the lowest one) = 365 meV/atom
1.0
5.124 0.000 0.000
0.000 5.124 0.000
0.000 0.000 5.124
W Te P
1 3 1
Direct
0.500 0.500 0.500 W
0.000 0.500 0.000 Te
0.000 0.000 0.500 Te
0.500 0.000 0.000 Te
0.000 0.000 0.000 P

TiZn3Co4 PBE optimized geometry; total moment = 0.00 μB/f.u.; E = -5.178 eV per atom; calculated density = 8.277 g/cm3; formation energy from the elements = -0.160 eV per atom
1.0
3.938 0.000 -1.063
-0.283 3.933 -1.047
-0.375 -0.428 6.438
Co Zn Ti
4 3 1
Direct
0.374 0.373 0.747 Co
0.626 0.627 0.253 Co
0.126 0.126 0.253 Co
0.874 0.874 0.747 Co
0.249 0.749 0.498 Zn
0.000 0.500 0.000 Zn
0.751 0.251 0.502 Zn
0.500 0.000 0.000 Ti

ScTl3 PBE optimized geometry; total moment = 0.00 μB/f.u.; E = -3.417 eV per atom; calculated density = 10.379 g/cm3; formation energy from the elements = -0.059 eV per atom
1.0
5.566 -0.014 0.000
-1.599 5.332 0.000
0.000 0.000 3.551
Tl Sc
3 1
Direct
0.000 0.500 0.500 Tl
0.500 0.000 0.500 Tl
0.500 0.500 0.000 Tl
0.000 0.000 0.000 Sc

PrMgH8Pt2 PBE optimized geometry; total moment = 0.00 μB/f.u.; E = -3.957 eV per atom; calculated density = 7.629 g/cm3
1.0
-3.489 2.676 -2.162
-2.961 -2.055 -3.320
-5.930 -1.263 2.455
H Pt Pr Mg
8 2 1 1
Direct
0.173 0.173 0.480 H
0.718 0.084 0.805 H
0.282 0.916 0.195 H
0.916 0.606 0.195 H
0.084 0.394 0.805 H
0.394 0.718 0.805 H
0.606 0.282 0.195 H
0.827 0.827 0.520 H
0.736 0.736 0.792 Pt
0.264 0.264 0.208 Pt
0.500 0.500 0.500 Pr
0.000 0.000 0.000 Mg

PrDy2P3 PBE optimized geometry; total moment = 0.00 μB/f.u.; E = -6.601 eV per atom; calculated density = 6.460 g/cm3; formation energy from the elements = -1.565 eV per atom
1.0
-3.185 2.055 -1.498
2.946 1.029 -4.853
-2.070 -6.704 0.751
Dy P Pr
2 3 1
Direct
0.666 0.166 0.332 Dy
0.334 0.834 0.668 Dy
0.673 0.673 0.346 P
0.327 0.327 0.654 P
0.000 0.000 0.000 P
0.000 0.500 0.000 Pr

Pr2NdEu PBE optimized geometry; total moment = 8.42 μB/f.u.; E = -6.022 eV per atom; calculated density = 6.489 g/cm3; polymorph energy (0 for the lowest one) = 74 meV/atom; formation energy from the elements = 0.128 eV per atom
1.0
-2.627 5.300 0.503
-3.710 1.057 4.512
1.601 3.705 4.353
Nd Pr Eu
1 2 1
Direct
0.500 0.500 0.500 Nd
0.250 0.250 0.250 Pr
0.750 0.750 0.750 Pr
0.000 0.000 0.000 Eu

What is the calculated density in the fourth record?
8.277 g/cm3

Among the records above, which one has the lowest calculated density?
K2CdSbOs

Which value of E does entry 7 give?
-6.601 eV per atom